# BaNaMn2F8

BaNaMn2F8 after structural relaxation (PBE with a Hubbard U, the Alexandria database).

Lattice parameters (Å, degrees): 5.5054 5.5054 6.5447 90.00 90.00 120.00
Atoms (fractional coordinates):
1 Ba 0.0000 0.0000 0.0000
2 Na 0.0000 0.0000 0.5000
3 Mn 0.3333 0.6667 0.6021
4 Mn 0.6667 0.3333 0.3979
5 F 0.0534 0.6873 0.3453
6 F 0.3127 0.3661 0.3453
7 F 0.3333 0.6667 0.9015
8 F 0.3661 0.0534 0.6547
9 F 0.6339 0.9466 0.3453
10 F 0.6667 0.3333 0.0985
11 F 0.6873 0.6339 0.6547
12 F 0.9466 0.3127 0.6547

Properties
Fermi-level density of states: 0.43 states/eV/atom
E_tot: -5.484 eV per atom
Magnetization: 9.00 μB per formula unit
Symmetry: P-3, No. 147